No. 1
# Li2PrAu

A geometry-optimized Li2PrAu structure (PBE, the Alexandria database).

Results
E_form = -0.003 eV per atom
E above lowest polymorph = 395 meV per atom
DFT total energy = -35.688 eV per cell

Lattice parameters (Å, degrees): 3.1962 3.1962 31.1744 90.00 90.00 120.00
Space group R-3m (No. 166, hexagonal axes)
Inequivalent atoms, fractional coordinates:
Li (0.0000, 0.0000, 0.1029) [6 per cell]
Pr (0.0000, 0.0000, 0.0000) [3 per cell]
Au (0.0000, 0.0000, 0.5000) [3 per cell]

No. 2
# Li3Pr2Au4

A geometry-optimized Li3Pr2Au4 structure (PBE, the Alexandria database).

Results
E_form = -0.594 eV per atom
DFT total energy = -135.032 eV per cell

Lattice parameters (Å, degrees): 5.972 15.747 7.941 90.00 90.00 90.00
Space group Cmce (No. 64)
Inequivalent atoms, fractional coordinates:
Li (0.000, 0.000, 0.000) [4 per cell]
Li (0.250, 0.214, 0.250) [8 per cell]
Pr (0.000, 0.116, 0.584) [8 per cell]
Au (0.000, 0.186, 0.961) [8 per cell]
Au (0.250, 0.046, 0.250) [8 per cell]

No. 3
# LiPrAu2

A geometry-optimized LiPrAu2 structure (PBE, the Alexandria database).

Results
E_form = -0.696 eV per atom
DFT total energy = -48.097 eV per cell

Lattice parameters (Å, degrees): 4.6175 4.6175 14.4155 90.00 90.00 120.00
Space group R-3m (No. 166, hexagonal axes)
Inequivalent atoms, fractional coordinates:
Li (0.0000, 0.0000, 0.0000) [3 per cell]
Pr (0.0000, 0.0000, 0.5000) [3 per cell]
Au (0.0000, 0.0000, 0.2827) [6 per cell]

No. 4
# Li4PrAu2

A geometry-optimized Li4PrAu2 structure (PBE, the Alexandria database).

Results
E_form = -0.467 eV per atom
DFT total energy = -44.512 eV per cell

Lattice parameters (Å, degrees): 7.934 7.934 4.332 90.00 90.00 90.00
Space group P4_2/mnm (No. 136)
Inequivalent atoms, fractional coordinates:
Li (0.095, 0.347, 0.000) [8 per cell]
Pr (0.000, 0.000, 0.500) [2 per cell]
Au (0.214, 0.786, 0.000) [4 per cell]

No. 5
# Li6PrAu12

A geometry-optimized Li6PrAu12 structure (PBE, the Alexandria database).

Results
E_form = -0.376 eV per atom
DFT total energy = -188.183 eV per cell

Lattice parameters (Å, degrees): 11.8770 11.8770 8.5573 90.00 90.00 120.00
Space group R-3m (No. 166, hexagonal axes)
Inequivalent atoms, fractional coordinates:
Li (0.0530, 0.5265, 0.2448) [18 per cell]
Pr (0.0000, 0.0000, 0.0000) [3 per cell]
Au (0.0000, 0.3804, 0.5000) [18 per cell]
Au (0.0826, 0.1652, 0.2961) [18 per cell]

No. 6
# Li2PrAu

A geometry-optimized Li2PrAu structure (PBE, the Alexandria database).

Results
E_form = -0.236 eV per atom
E above lowest polymorph = 162 meV per atom
DFT total energy = -12.829 eV per cell

Lattice parameters (Å, degrees): 3.404 3.404 7.275 90.00 90.00 90.00
Space group P4/mmm (No. 123)
Inequivalent atoms, fractional coordinates:
Li (0.000, 0.000, 0.175) [2 per cell]
Pr (0.500, 0.500, 0.500) [1 per cell]
Au (0.500, 0.500, 0.000) [1 per cell]

No. 7
# Li2PrAu

A geometry-optimized Li2PrAu structure (PBE, the Alexandria database).

Results
E_form = -0.230 eV per atom
E above lowest polymorph = 168 meV per atom
DFT total energy = -51.216 eV per cell

Lattice parameters (Å, degrees): 6.821 6.821 6.821 90.00 90.00 90.00
Space group Fm-3m (No. 225)
Inequivalent atoms, fractional coordinates:
Li (0.250, 0.250, 0.250) [8 per cell]
Pr (0.000, 0.000, 0.000) [4 per cell]
Au (0.000, 0.000, 0.500) [4 per cell]

No. 8
# LiPr5Au6

A geometry-optimized LiPr5Au6 structure (PBE, the Alexandria database).

Results
E_form = -0.700 eV per atom
DFT total energy = -107.741 eV per cell

Lattice parameters (Å, degrees): 9.080 15.659 5.233 90.00 125.14 90.00
Space group C2/m (No. 12)
Inequivalent atoms, fractional coordinates:
Li (0.000, 0.000, 0.000) [2 per cell]
Pr (0.000, 0.152, 0.500) [4 per cell]
Pr (0.000, 0.328, 0.000) [4 per cell]
Pr (0.000, 0.500, 0.500) [2 per cell]
Au (0.230, 0.500, 0.229) [4 per cell]
Au (0.243, 0.330, 0.742) [8 per cell]

no.,magnetic moment (μB per atom)
1,0.09
2,0.00
3,0.00
4,0.00
5,0.00
6,0.00
7,0.00
8,0.00